# 1
Sr2UCu2P4: optimized geometry, PBE.

Cell: 14.3840 3.9745 7.0941 Å, 90.00 110.37 90.00°
With the nearest neighbours (Å) after each atom.
Space group C2/m (No. 12)
Inequivalent atoms, fractional coordinates:
Sr1 0.1386 0.0000 0.0789 [4 per cell]  7 P 3.09-3.28, 3 Cu 3.29-3.38
U1 0.0000 0.0000 0.5000 [2 per cell]  6 P 2.69-2.70
Cu1 0.1786 0.5000 0.4842 [4 per cell]  4 P 2.36-2.44
P1 0.0146 0.5000 0.2534 [4 per cell]  1 Cu 2.36
P2 0.1981 0.0000 0.6813 [4 per cell]  3 Cu 2.39-2.44

## Properties
Formation enthalpy at 0 K ... -18.58 kcal/mol of atoms
Mass density ... 5.8 g/cm3
VASP energy ... -5.75 eV per atom
Crystal system ... monoclinic

***

# 2
Sr2VCuP: optimized geometry, PBE.

Cell: 5.9484 5.9484 4.2895 Å, 90.00 90.00 90.00°
With the nearest neighbours (Å) after each atom.
Space group P4/mmm (No. 123)
Inequivalent atoms, fractional coordinates:
Sr1 0.0000 0.5000 0.0000 [2 per cell]  2 P 2.97
V1 0.0000 0.0000 0.5000 [1 per cell]  8 Sr 3.67
Cu1 0.5000 0.5000 0.5000 [1 per cell]  2 P 2.14
P1 0.5000 0.5000 0.0000 [1 per cell]  2 Cu 2.14

## Properties
Formation enthalpy at 0 K ... 10.65 kcal/mol of atoms
Mass density ... 3.5 g/cm3
VASP energy ... -3.94 eV per atom
Crystal system ... tetragonal

***

# 3
Sr2YCuP: optimized geometry, PBE.

Cell: 5.5999 5.5999 5.2590 Å, 90.00 90.00 90.00°
With the nearest neighbours (Å) after each atom.
Space group P4/mmm (No. 123)
Inequivalent atoms, fractional coordinates:
Sr1 0.0000 0.5000 0.0000 [2 per cell]  2 Cu 2.80
Y1 0.0000 0.0000 0.5000 [1 per cell]  2 Cu 2.63
Cu1 0.0000 0.0000 0.0000 [1 per cell]  2 Y 2.63, 4 Sr 2.80
P1 0.5000 0.5000 0.5000 [1 per cell]  8 Sr 3.84, 4 Y 3.96

## Properties
Formation enthalpy at 0 K ... 2.78 kcal/mol of atoms
Mass density ... 3.6 g/cm3
VASP energy ... -3.75 eV per atom
Crystal system ... tetragonal